[1]
{"formula": "TcS2I", "functional": "PBE", "state": "optimized geometry", "relative_energy_kj_per_mol_atoms": 109.3, "spacegroup": "Fm-3m (225)", "cell": [[0.2708, -4.5304, -0.9553], [-2.5782, -1.8104, -3.4038], [2.0141, -1.4256, -3.9271]], "species": ["I", "S", "S", "Tc"], "frac_coords": [[0.5000, 0.5000, 0.5000], [0.2500, 0.2500, 0.2500], [0.7500, 0.7500, 0.7500], [0.0000, 0.0000, 0.0000]]}

[2]
{"formula": "In5IBr4", "functional": "PBE", "state": "optimized geometry", "dft_energy_ev_per_cell": -28.0, "spacegroup": "C2/m (12)", "cell": [[4.6509, 0.0000, 1.0624], [1.9638, 7.7219, 2.1144], [0.0094, -0.0041, 10.6705]], "species": ["In", "In", "In", "In", "In", "Br", "Br", "Br", "Br", "I"], "frac_coords": [[0.2034, 0.9032, 0.6901], [0.0000, 0.5000, 0.5000], [0.3927, 0.3209, 0.8938], [0.6073, 0.6791, 0.1062], [0.7966, 0.0968, 0.3099], [0.2037, 0.3849, 0.2076], [0.4079, 0.7926, 0.3915], [0.5921, 0.2074, 0.6085], [0.7963, 0.6151, 0.7924], [0.0000, 0.0000, 0.0000]]}

[3]
{"formula": "KZrAsSe2", "functional": "PBE", "state": "optimized geometry", "relative_energy_kj_per_mol_atoms": 0.0, "spacegroup": "P4/mmm (123)", "cell": [[-4.1842, 1.8409, -2.7090], [-3.2736, -2.2066, 3.5566], [0.1064, 4.4349, 2.8494]], "species": ["Se", "Se", "Zr", "As", "K"], "frac_coords": [[0.0000, 0.5000, 0.0000], [0.5000, 0.0000, 0.0000], [0.0000, 0.0000, 0.0000], [0.0000, 0.0000, 0.5000], [0.5000, 0.5000, 0.5000]]}

[4]
{"formula": "Mn2CoBr", "functional": "PBE", "state": "optimized geometry", "relative_energy_kj_per_mol_atoms": 41.5, "spacegroup": "I4/mmm (139)", "cell": [[4.8044, -0.0217, 0.0000], [1.5154, 4.5592, 0.0000], [-3.1599, -2.2687, 2.8196]], "species": ["Co", "Mn", "Mn", "Br"], "frac_coords": [[0.7500, 0.2500, 0.5000], [0.5000, 0.5000, 0.0000], [0.0000, 0.0000, 0.0000], [0.2500, 0.7500, 0.5000]]}

[5]
{"formula": "Ge4W", "functional": "PBE", "state": "optimized geometry", "spacegroup": "Pm-3m (221)", "formation_enthalpy_0k_ev_per_atom": 0.670, "cell": [[-1.0874, -0.4036, 4.7826], [-4.7610, -0.5299, -1.1272], [0.6074, -4.8760, -0.2734]], "species": ["W", "Ge", "Ge", "Ge", "Ge"], "frac_coords": [[0.5000, 0.5000, 0.5000], [0.0000, 0.5000, 0.5000], [0.5000, 0.5000, 0.0000], [0.5000, 0.0000, 0.5000], [0.0000, 0.0000, 0.0000]]}

[6]
{"formula": "Li2PrTl2", "functional": "PBE", "state": "optimized geometry", "spacegroup": "C2/m (12)", "formation_enthalpy_0k_ev_per_atom": -0.253, "cell": [[-1.8289, 0.4174, 5.9003], [-4.6823, -2.7094, 3.0111], [0.5482, -3.8067, 3.5784]], "species": ["Li", "Li", "Tl", "Tl", "Pr"], "frac_coords": [[0.3850, 0.3850, 0.5007], [0.6150, 0.6150, 0.4993], [0.7384, 0.7384, 0.8282], [0.2616, 0.2616, 0.1718], [0.0000, 0.0000, 0.0000]]}